# LiSbCl2

LiSbCl2 after structural relaxation (PBE-GGA, Alexandria via LeMat-Bulk).

Geometry as POSCAR:
```
LiSbCl2
1.0
3.341 0.000 0.000
0.000 4.439 0.000
0.000 0.000 6.797
Li Sb Cl
1 1 2
direct
0.000 0.000 0.000
0.500 0.000 0.500
0.000 0.500 0.500
0.500 0.500 0.000
```

Calculated values
- N(E_F) (states/eV per atom) = 0.660
- energy above the most stable polymorph in this dataset (eV/atom) = 0.4773
- uncorrected formation energy (eV/atom) = -0.60
- electronic total energy (hartree per atom) = -0.111
- calculated density (g/cm³) = 3.3
- space-group type = Pmmm